#1
Material: Cu2PbCl
Method: DFT, meta-GGA SCAN
State: PBEsol geometry

Computed properties:
DOS(E_F)   1.18 states/eV per cell
Spin magnetization   0.00 μB per formula unit

Unit cell a=3.243 b=3.319 c=7.578 alpha=102.65 beta=98.79 gamma=90.00
Positions (direct):
Pb 0.401 0.527 0.055
Cl 0.055 0.732 0.465
Cu 0.797 0.904 0.809
Cu 0.247 0.336 0.672

---

#2
Material: Cu2PbCl
Method: DFT, meta-GGA SCAN
State: PBEsol geometry

Computed properties:
DOS(E_F)   1.41 states/eV per cell
Spin magnetization   0.00 μB per formula unit

Unit cell a=3.170 b=3.170 c=6.996 alpha=90.00 beta=90.00 gamma=90.00
Positions (direct):
Cl 0.500 0.500 0.500
Cu 0.000 0.000 0.727
Cu 0.000 0.000 0.273
Pb 0.500 0.500 0.000

---

#3
Material: Cu2PbCl
Method: DFT, meta-GGA SCAN
State: PBEsol geometry

Computed properties:
DOS(E_F)   1.92 states/eV per cell
Spin magnetization   0.00 μB per formula unit

Unit cell a=3.185 b=4.938 c=5.838 alpha=85.80 beta=74.17 gamma=71.18
Positions (direct):
Cu 0.689 0.454 0.167
Cu 0.311 0.546 0.833
Pb 0.500 0.000 0.000
Cl 0.000 0.500 0.500

---

Which structure loses on stability? #2 does.

---

#1
Material: CuPtCl2
Method: DFT, meta-GGA SCAN
State: PBEsol geometry

Computed properties:
DOS(E_F)   2.43 states/eV per cell
Spin magnetization   0.00 μB per formula unit

Unit cell a=3.222 b=3.222 c=7.790 alpha=90.00 beta=90.00 gamma=115.21
Positions (direct):
Cu 0.000 0.000 0.494
Cl 0.000 0.000 0.063
Cl 0.500 0.500 0.673
Pt 0.500 0.500 0.271

---

#2
Material: CuPtCl2
Method: DFT, meta-GGA SCAN
State: PBEsol geometry

Computed properties:
DOS(E_F)   2.05 states/eV per cell
Spin magnetization   0.00 μB per formula unit

Unit cell a=3.130 b=3.636 c=6.887 alpha=105.31 beta=103.14 gamma=90.00
Positions (direct):
Cl 0.995 0.995 0.991
Cl 0.747 0.247 0.494
Cu 0.545 0.545 0.089
Pt 0.213 0.713 0.427

---

Which structure loses on stability? #2 does.

---

#1
Material: CuPtCl
Method: DFT, meta-GGA SCAN
State: PBEsol geometry

Computed properties:
DOS(E_F)   1.72 states/eV per cell
Spin magnetization   0.00 μB per formula unit

Unit cell a=2.879 b=4.234 c=4.234 alpha=120.00 beta=90.00 gamma=90.00
Positions (direct):
Cu 0.668 0.333 0.667
Pt 0.166 0.667 0.333
Cl 0.167 0.000 0.000

---

#2
Material: CuPtCl
Method: DFT, meta-GGA SCAN
State: PBEsol geometry

Computed properties:
DOS(E_F)   2.37 states/eV per cell
Spin magnetization   0.00 μB per formula unit

Unit cell a=4.150 b=4.150 c=4.150 alpha=60.00 beta=60.00 gamma=60.00
Positions (direct):
Cl 0.500 0.500 0.500
Cu 0.250 0.250 0.250
Pt 0.000 0.000 0.000

---

Which structure loses on stability? #2 does.